Entry 1:
8
Lattice="-2.5552 2.5552 3.7530 2.5552 -2.5552 3.7530 2.5552 2.5552 -3.7530" Properties=species:S:1:pos:R:3 comment="BeGeB2 GGA-PBE relaxed" dft_energy_ev_per_atom=-4.3249 polymorph_energy_mev_per_atom=0 space_group="No. 122" e_form_ev_per_atom=1.10 magmom_total_mub_per_fu=0.00 pbc="T T T"
Be 0.0000 0.0000 0.0000
Be 0.0000 2.5552 1.8765
Ge 2.5552 0.0000 1.8765
Ge 0.0000 0.0000 3.7530
B 3.8328 1.1924 -0.9382
B 1.1924 1.2776 0.9382
B -1.2776 1.3628 2.8147
B 1.3628 1.2776 4.6912

Entry 2:
5
Lattice="4.3555 0.0000 0.0000 0.0000 4.3555 0.0000 0.0000 0.0000 4.3555" Properties=species:S:1:pos:R:3 comment="BeGe3B GGA-PBE relaxed" dft_energy_ev_per_atom=-3.9126 polymorph_energy_mev_per_atom=0 space_group="No. 221" e_form_ev_per_atom=0.94 magmom_total_mub_per_fu=0.00 pbc="T T T"
Be 0.0000 0.0000 0.0000
Ge 0.0000 2.1777 2.1777
Ge 2.1777 0.0000 2.1777
Ge 2.1777 2.1777 0.0000
B 2.1777 2.1777 2.1777

Entry 3:
8
Lattice="-1.8207 1.8207 6.6385 1.8207 -1.8207 6.6385 1.8207 1.8207 -6.6385" Properties=species:S:1:pos:R:3 comment="Be2GeB GGA-PBE relaxed" dft_energy_ev_per_atom=-4.2340 polymorph_energy_mev_per_atom=0 space_group="No. 122" e_form_ev_per_atom=0.45 magmom_total_mub_per_fu=0.00 pbc="T T T"
Be 0.9103 0.5343 -1.6596
Be 1.2864 -0.9103 8.2982
Be 0.9103 1.2864 4.9789
Be 0.5343 2.7310 1.6596
Ge 1.8207 0.0000 3.3193
Ge 0.0000 0.0000 6.6385
B 0.0000 0.0000 0.0000
B 0.0000 1.8207 3.3193

Entry 4:
20
Lattice="9.3157 0.0000 0.0000 0.0000 9.3157 0.0000 0.0000 0.0000 2.9204" Properties=species:S:1:pos:R:3 comment="BeGe2B2Ir5 GGA-PBE relaxed" dft_energy_ev_per_atom=-7.1770 space_group="No. 127" e_form_ev_per_atom=-0.11 magmom_total_mub_per_fu=0.00 pbc="T T T"
Be 0.0000 0.0000 0.0000
Be 4.6578 4.6578 0.0000
Ge 1.6554 3.0024 0.0000
Ge 3.0024 7.6603 0.0000
Ge 6.3132 1.6554 0.0000
Ge 7.6603 6.3132 0.0000
B 1.2072 5.8650 0.0000
B 3.4506 1.2072 0.0000
B 5.8650 8.1084 0.0000
B 8.1084 3.4506 0.0000
Ir 0.0000 4.6578 1.4602
Ir 0.7364 7.4305 1.4602
Ir 1.8852 0.7364 1.4602
Ir 2.7727 5.3942 1.4602
Ir 3.9215 2.7727 1.4602
Ir 4.6578 0.0000 1.4602
Ir 5.3942 6.5430 1.4602
Ir 6.5430 3.9215 1.4602
Ir 7.4305 8.5793 1.4602
Ir 8.5793 1.8852 1.4602

Entry 5:
5
Lattice="3.9624 0.0000 0.0000 0.0000 3.9624 0.0000 0.0000 0.0000 4.5753" Properties=species:S:1:pos:R:3 comment="BeNiGeB2 GGA-PBE relaxed" dft_energy_ev_per_atom=-3.7914 space_group="No. 123" e_form_ev_per_atom=1.70 magmom_total_mub_per_fu=0.00 pbc="T T T"
Be 0.0000 0.0000 0.0000
Ni 1.9812 1.9812 0.0000
Ge 1.9812 1.9812 2.2877
B 0.0000 1.9812 2.2877
B 1.9812 0.0000 2.2877

Entry 6:
20
Lattice="-2.2019 5.8927 4.6111 2.2019 -5.8927 4.6111 2.2019 5.8927 -4.6111" Properties=species:S:1:pos:R:3 comment="BeGe2BO6 GGA-PBE relaxed" dft_energy_ev_per_atom=-6.7430 space_group="No. 72" formation_energy_uncorrected_mev_per_atom=-1804 magmom_total_mub_per_fu=0.00 pbc="T T T"
Be 0.0000 0.0000 2.3055
Be 0.0000 0.0000 6.9166
Ge 2.9452 1.8734 0.0000
Ge 0.7433 4.0192 0.0000
Ge 1.4586 1.8734 4.6111
Ge -0.7433 4.0192 4.6111
B 2.2019 0.0000 2.3055
B 0.0000 5.8927 2.3055
O 1.2076 -0.7844 1.5208
O 1.1261 2.2035 0.0000
O 3.1963 0.7844 1.5208
O 0.9943 5.1083 -1.5208
O 1.1261 -2.2035 4.6111
O 1.2076 0.7844 3.0902
O 0.9943 5.1083 1.5208
O 1.0758 8.0962 0.0000
O 1.2076 0.7844 6.1319
O -0.9943 5.1083 3.0902
O 1.0758 3.6892 4.6111
O 0.9943 6.6770 3.0902

Entry 7:
5
Lattice="3.9798 0.0000 0.0000 0.0000 3.9798 0.0000 0.0000 0.0000 4.9716" Properties=species:S:1:pos:R:3 comment="BeGeB2Pb GGA-PBE relaxed" dft_energy_ev_per_atom=-3.8110 space_group="No. 123" e_form_ev_per_atom=1.27 magmom_total_mub_per_fu=0.00 pbc="T T T"
Be 0.0000 0.0000 0.0000
Ge 0.0000 0.0000 2.4858
B 0.0000 1.9899 0.0000
B 1.9899 0.0000 0.0000
Pb 1.9899 1.9899 2.4858

Entry 8:
5
Lattice="4.1974 0.0000 0.0000 0.0000 4.1974 0.0000 0.0000 0.0000 6.2643" Properties=species:S:1:pos:R:3 comment="SrBe2GeB GGA-PBE relaxed" dft_energy_ev_per_atom=-3.0274 space_group="No. 123" e_form_ev_per_atom=1.06 magmom_total_mub_per_fu=1.48 pbc="T T T"
Sr 0.0000 0.0000 0.0000
Be 0.0000 2.0987 3.1322
Be 2.0987 0.0000 3.1322
Ge 0.0000 0.0000 3.1322
B 2.0987 2.0987 0.0000